1.
ScCo3S | PBE | relaxed

The space group is Pm-3m (No. 221) and the conventional cell measures 4.129, 4.129 and 4.129 Å, with angles of 90.00, 90.00 and 90.00 degrees. The distinct sites, in fractional coordinates, are Sc at (0.000, 0.000, 0.000), Co at (0.000, 0.500, 0.500) and S at (0.500, 0.500, 0.500).

The total DFT energy (no corrections) is -6.537 eV per atom. The calculation puts the density of states at the Fermi level at 3.872 states/eV/cell.

=====

2.
Tc2Se3 | PBE | relaxed

The space group is C2/c (No. 15) and the conventional cell measures 10.193, 6.697 and 6.387 Å, with angles of 90.00, 119.84 and 90.00 degrees. The distinct sites, in fractional coordinates, are Tc at (0.112, 0.248, 0.012), Se at (0.000, 0.064, 0.250) and Se at (0.153, 0.413, 0.698).

The total DFT energy (no corrections) is -6.508 eV per atom. The calculation puts the density of states at the Fermi level at 12.284 states/eV/cell.

=====

Summary of total moment in μB/cell
2.1 0.0
(order as listed above)
Summary of V in Å³/atom
14.1 18.9
(order as listed above)
Summary of raw formation energy in eV per formula unit
-0.91 -1.35
(order as listed above)